(1)
Density functional theory data (PBE) for a geometry-optimized Pm2I4Br structure.

Cell: 5.5622 5.5622 10.7854 Å, 75.06 75.06 60.00°
Last column: magnetic moment on the atom in μB.
Positions (direct):
I1 0.0988 0.0988 0.7035  -0.01
I2 0.2983 0.2983 0.1050  -0.01
I3 0.7017 0.7017 0.8950  -0.01
I4 0.9012 0.9012 0.2965  -0.01
Pm1 0.4073 0.4073 0.7780  0.29
Pm2 0.5927 0.5927 0.2220  0.29
Br1 0.5000 0.5000 0.5000  -0.01

Output
**Magnetization**: 1.0 Bohr magnetons per cell
**ΔE_f (raw)**: -1236.8 meV/atom
**Crystal system**: trigonal
**N(E_F)**: 0.819 states/eV per atom

(2)
Density functional theory data (PBE) for a geometry-optimized PmIBr2 structure.

Cell: 3.9493 3.9493 11.6907 Å, 80.28 80.28 60.00°
Positions (direct):
Br1 0.1128 0.1128 0.6616
Br2 0.8872 0.8872 0.3384
Pm1 0.5000 0.5000 0.5000
I1 0.0000 0.0000 0.0000

Output
**Magnetization**: 0.0 Bohr magnetons per cell
**ΔE_f (raw)**: -1147.6 meV/atom
**Crystal system**: trigonal
**N(E_F)**: 0.831 states/eV per atom

(3)
Density functional theory data (PBE) for a geometry-optimized Pm2I2Br3 structure.

Cell: 4.5548 4.5211 14.9977 Å, 90.00 98.91 90.00°
Positions (direct):
I1 0.4058 0.5000 0.8196
I2 0.5942 0.5000 0.1804
Br1 0.0000 0.0000 0.0000
Br2 0.8098 0.0000 0.6227
Br3 0.1902 0.0000 0.3773
Pm1 0.1044 0.0000 0.1993
Pm2 0.8956 0.0000 0.8007

Output
**Magnetization**: 0.0 Bohr magnetons per cell
**ΔE_f (raw)**: -1402.6 meV/atom
**Crystal system**: monoclinic
**N(E_F)**: 0.246 states/eV per atom

(4)
Density functional theory data (PBE) for a geometry-optimized Pm2I3Br2 structure.

Cell: 4.2949 4.2940 16.3193 Å, 90.00 97.77 90.00°
Positions (direct):
Br1 0.4025 0.5000 0.8185
Br2 0.5975 0.5000 0.1815
I1 0.8107 0.0000 0.6282
I2 0.0000 0.0000 0.0000
I3 0.1893 0.0000 0.3718
Pm1 0.1054 0.0000 0.1952
Pm2 0.8946 0.0000 0.8048

Output
**Magnetization**: 0.0 Bohr magnetons per cell
**ΔE_f (raw)**: -1303.4 meV/atom
**Crystal system**: monoclinic
**N(E_F)**: 0.246 states/eV per atom

(5)
Density functional theory data (PBE) for a geometry-optimized Pm2I3Br structure.

Cell: 4.1397 10.7542 11.8867 Å, 85.63 79.97 78.90°
Last column: magnetic moment on the atom in μB.
Positions (direct):
Pm1 0.5755 0.3184 0.5305  0.04
Pm2 0.8384 0.4418 0.8814  0.42
Pm3 0.1616 0.5582 0.1186  0.42
Pm4 0.4245 0.6816 0.4695  0.04
Br1 0.3853 0.5265 0.7030  0.01
Br2 0.6147 0.4735 0.2970  0.01
I1 0.7801 0.8280 0.6117  0.00
I2 0.2199 0.1720 0.3883  0.00
I3 0.0387 0.2038 0.7188  0.00
I4 0.9613 0.7962 0.2812  0.00
I5 0.6546 0.7227 0.9681  0.01
I6 0.3454 0.2773 0.0319  0.01

Output
**Magnetization**: 2.1 Bohr magnetons per cell
**ΔE_f (raw)**: -1311.0 meV/atom
**Crystal system**: monoclinic
**N(E_F)**: 0.472 states/eV per atom

(6)
Density functional theory data (PBE) for a geometry-optimized PmIBr2 structure.

Cell: 3.9483 7.4608 7.4607 Å, 62.75 74.68 74.69°
Positions (direct):
Br1 0.4035 0.5764 0.6160
Br2 0.0964 0.8841 0.9236
Pm1 0.7500 0.8644 0.6355
I1 0.2501 0.1751 0.3249

Output
**Magnetization**: 0.0 Bohr magnetons per cell
**ΔE_f (raw)**: -1684.2 meV/atom
**Crystal system**: orthorhombic
**N(E_F)**: 0.000 states/eV per atom

(7)
Density functional theory data (PBE) for a geometry-optimized PmIBr structure.

Cell: 6.0574 7.2543 6.0572 Å, 114.73 90.01 65.29°
Positions (direct):
Pm1 0.8005 0.2537 0.1508
Pm2 0.5511 0.7536 0.9008
Br1 0.2954 0.2639 0.1561
Br2 0.5459 0.7640 0.4061
I1 0.8244 0.2068 0.6273
I2 0.0745 0.7068 0.8775

Output
**Magnetization**: 0.0 Bohr magnetons per cell
**ΔE_f (raw)**: -1376.4 meV/atom
**Crystal system**: tetragonal
**N(E_F)**: 0.483 states/eV per atom

(8)
Density functional theory data (PBE) for a geometry-optimized PmI2Br structure.

Cell: 4.3795 7.9128 7.9115 Å, 133.83 90.00 90.00°
Positions (direct):
I1 0.5000 0.6487 0.3504
I2 0.0000 0.9871 0.0129
Pm1 0.0000 0.4967 0.5032
Br1 0.5000 0.3675 0.6335

Output
**Magnetization**: 0.0 Bohr magnetons per cell
**ΔE_f (raw)**: -1522.6 meV/atom
**Crystal system**: orthorhombic
**N(E_F)**: 0.000 states/eV per atom